# 1
This record from Alexandria via LeMat-Bulk describes a geometry-optimized AgAu3 structure. The functional is GGA-PBEsol.

For the density of states at the Fermi level, the calculation gives 0.493 states/eV/atom. The energy above the lowest structure with this stoichiometry is 0.13 eV per formula unit. For the formation energy, the calculation gives -0.015 eV per atom. The calculation puts the magnetization at 0.000 Bohr magnetons per cell.

```
data_AgAu3
_cell_length_a 2.8532
_cell_length_b 2.8532
_cell_length_c 9.5321
_cell_angle_alpha 90.00
_cell_angle_beta 90.00
_cell_angle_gamma 120.00
_space_group_name_H-M_alt 'P -6 m 2'
_space_group_IT_number 187
_space_group_name_Hall 'P -6 2'
loop_
_atom_site_label
_atom_site_type_symbol
_atom_site_fract_x
_atom_site_fract_y
_atom_site_fract_z
Ag1 Ag 0.0000 0.0000 0.0000
Au1 Au 0.0000 0.0000 0.5000
Au2 Au 0.6667 0.3333 0.2467
```


# 2
This record from Alexandria via LeMat-Bulk describes a geometry-optimized CaInRh2 structure. The functional is GGA-PBEsol.

For the density of states at the Fermi level, the calculation gives 0.430 states/eV/atom. For the formation energy, the calculation gives -0.393 eV per atom. The calculation puts the magnetization at 0.000 Bohr magnetons per cell.

```
data_CaInRh2
_cell_length_a 4.5514
_cell_length_b 4.5514
_cell_length_c 3.2869
_cell_angle_alpha 90.00
_cell_angle_beta 90.00
_cell_angle_gamma 90.00
_space_group_name_H-M_alt 'P 4/m m m'
_space_group_IT_number 123
_space_group_name_Hall '-P 4 2'
loop_
_atom_site_label
_atom_site_type_symbol
_atom_site_fract_x
_atom_site_fract_y
_atom_site_fract_z
Ca1 Ca 0.0000 0.0000 0.0000
In1 In 0.5000 0.5000 0.0000
Rh1 Rh 0.0000 0.5000 0.5000
```